Record 1
# TcAsN3 PBE relaxed
data_TcAsN3
_chemical_formula_sum 'Tc1 As1 N3'
_cell_length_a 3.896
_cell_length_b 3.896
_cell_length_c 3.896
_cell_angle_alpha 90.00
_cell_angle_beta 90.00
_cell_angle_gamma 90.00
_symmetry_space_group_name_H-M 'P m -3 m'
_symmetry_Int_Tables_number 221
_symmetry_space_group_name_Hall '-P 4 2 3'
loop_
_atom_site_label
_atom_site_fract_x
_atom_site_fract_y
_atom_site_fract_z
_atom_site_occupancy
Tc1 0.000 0.000 0.000 1
As1 0.500 0.500 0.500 1
N1 0.000 0.000 0.500 1
# VASP energy ... -34.01 eV/f.u.
# DOS(E_F) ... 0.801 states/eV/atom

***

Record 2
# TcAs2N2 PBE relaxed
data_TcAs2N2
_chemical_formula_sum 'Tc2 As4 N4'
_cell_length_a 4.328
_cell_length_b 4.328
_cell_length_c 11.751
_cell_angle_alpha 90.00
_cell_angle_beta 91.19
_cell_angle_gamma 90.00
_symmetry_space_group_name_H-M 'C 1 2/m 1'
_symmetry_Int_Tables_number 12
loop_
_symmetry_equiv_pos_as_xyz
'x,y,z'
'-x,-y,-z'
'-x,y,-z'
'x,-y,z'
'x+1/2,y+1/2,z'
'-x+1/2,-y+1/2,-z'
'-x+1/2,y+1/2,-z'
'x+1/2,-y+1/2,z'
loop_
_atom_site_label
_atom_site_fract_x
_atom_site_fract_y
_atom_site_fract_z
_atom_site_occupancy
Tc1 0.000 0.000 0.000 1
As1 0.007 0.500 0.129 1
N1 0.001 0.000 0.547 1
# VASP energy ... -36.28 eV/f.u.
# DOS(E_F) ... 0.510 states/eV/atom

***

Please write out number 2 again, unchanged.
# TcAs2N2 PBE relaxed
data_TcAs2N2
_chemical_formula_sum 'Tc2 As4 N4'
_cell_length_a 4.328
_cell_length_b 4.328
_cell_length_c 11.751
_cell_angle_alpha 90.00
_cell_angle_beta 91.19
_cell_angle_gamma 90.00
_symmetry_space_group_name_H-M 'C 1 2/m 1'
_symmetry_Int_Tables_number 12
loop_
_symmetry_equiv_pos_as_xyz
'x,y,z'
'-x,-y,-z'
'-x,y,-z'
'x,-y,z'
'x+1/2,y+1/2,z'
'-x+1/2,-y+1/2,-z'
'-x+1/2,y+1/2,-z'
'x+1/2,-y+1/2,z'
loop_
_atom_site_label
_atom_site_fract_x
_atom_site_fract_y
_atom_site_fract_z
_atom_site_occupancy
Tc1 0.000 0.000 0.000 1
As1 0.007 0.500 0.129 1
N1 0.001 0.000 0.547 1
# VASP energy ... -36.28 eV/f.u.
# DOS(E_F) ... 0.510 states/eV/atom

***

Q: What is the formula in the first record?
A: TcAsN3